DFT (PBE) results for crystalline Tm3Zr3Te2Ir at its relaxed geometry.

Cell lengths 8.054, 8.054, 3.809 Å; angles 90.00, 90.00, 120.00 degrees
Atoms (fractional coordinates):
Ir 0.000 0.000 0.000
Te 0.667 0.333 0.500
Te 0.333 0.667 0.500
Tm 0.398 0.000 0.000
Tm 0.000 0.398 0.000
Tm 0.602 0.602 0.000
Zr 0.757 0.000 0.500
Zr 0.243 0.243 0.500
Zr 0.000 0.757 0.500

Summary:
* raw total energy: -61.24 eV per cell
* size of the total moment: 0.01 μB/f.u.

=====

DFT (PBE) results for crystalline TbZrHg at its relaxed geometry.

Cell lengths 4.940, 4.940, 4.940 Å; angles 60.00, 60.00, 60.00 degrees
Each line ends with the local moment (μB).
Atoms (fractional coordinates):
Hg 0.000 0.000 0.000  0.00
Tb 0.250 0.250 0.250  0.25
Zr 0.750 0.750 0.750  0.53

Summary:
* raw total energy: -12.93 eV per cell
* ΔH_f (0 K): 0.180 eV/atom
* size of the total moment: 1.16 μB/f.u.

=====

DFT (PBE) results for crystalline Nd4SiGe3 at its relaxed geometry.

Cell lengths 5.981, 4.033, 8.299 Å; angles 90.00, 90.05, 90.00 degrees
Atoms (fractional coordinates):
Ge 0.636 0.000 0.461
Ge 0.364 0.500 0.539
Ge 0.872 0.000 0.964
Nd 0.614 0.500 0.179
Nd 0.117 0.000 0.317
Nd 0.884 0.500 0.681
Nd 0.383 0.000 0.822
Si 0.129 0.500 0.037

Summary:
* raw total energy: -44.95 eV per cell
* size of the total moment: 0.02 μB/f.u.

=====

DFT (PBE) results for crystalline LuTcHg at its relaxed geometry.

Cell lengths 4.637, 4.637, 4.637 Å; angles 60.00, 60.00, 60.00 degrees
Atoms (fractional coordinates):
Hg 0.000 0.000 0.000
Lu 0.250 0.250 0.250
Tc 0.750 0.750 0.750

Summary:
* raw total energy: -13.44 eV per cell
* ΔH_f (0 K): 0.579 eV/atom
* size of the total moment: 1.28 μB/f.u.

=====

DFT (PBE) results for crystalline Gd2Fe3 at its relaxed geometry.

Cell lengths 5.510, 5.510, 7.400 Å; angles 90.00, 90.00, 126.41 degrees
Each line ends with the local moment (μB).
Atoms (fractional coordinates):
Fe 0.500 0.500 0.000  1.79
Fe 0.333 0.167 0.250  1.77
Fe 0.833 0.667 0.250  1.76
Fe 0.000 0.000 0.500  1.78
Fe 0.167 0.333 0.750  1.76
Fe 0.667 0.833 0.750  1.77
Gd 0.840 0.160 0.097  -0.38
Gd 0.340 0.660 0.403  -0.37
Gd 0.660 0.340 0.597  -0.37
Gd 0.160 0.840 0.903  -0.38

Summary:
* raw total energy: -68.44 eV per cell
* ΔH_f (0 K): 0.003 eV/atom
* size of the total moment: 4.40 μB/f.u.

=====

DFT (PBE) results for crystalline HfZnCoNi at its relaxed geometry.

Cell lengths 4.301, 4.301, 4.301 Å; angles 60.00, 60.00, 60.00 degrees
Each line ends with the local moment (μB).
Atoms (fractional coordinates):
Co 0.750 0.750 0.750  1.21
Hf 0.250 0.250 0.250  0.05
Ni 0.500 0.500 0.500  0.14
Zn 0.000 0.000 0.000  0.01

Summary:
* raw total energy: -24.23 eV per cell
* ΔH_f (0 K): -0.084 eV/atom
* size of the total moment: 1.45 μB/f.u.

=====

DFT (PBE) results for crystalline ScAgTe3Pb at its relaxed geometry.

Cell lengths 7.618, 7.618, 10.951 Å; angles 90.00, 90.00, 147.75 degrees
Atoms (fractional coordinates):
Ag 0.534 0.466 0.250
Ag 0.466 0.534 0.750
Pb 0.229 0.771 0.250
Pb 0.771 0.229 0.750
Sc 0.000 0.000 0.000
Sc 0.000 0.000 0.500
Te 0.641 0.359 0.042
Te 0.910 0.090 0.250
Te 0.641 0.359 0.458
Te 0.359 0.641 0.542
Te 0.090 0.910 0.750
Te 0.359 0.641 0.958

Summary:
* raw total energy: -51.96 eV per cell
* size of the total moment: 0.00 μB/f.u.

=====

DFT (PBE) results for crystalline ThScCd at its relaxed geometry.

Cell lengths 4.988, 4.988, 4.988 Å; angles 60.00, 60.00, 60.00 degrees
Atoms (fractional coordinates):
Cd 0.250 0.250 0.250
Sc 0.000 0.000 0.000
Th 0.750 0.750 0.750

Summary:
* raw total energy: -12.85 eV per cell
* ΔH_f (0 K): 0.594 eV/atom
* size of the total moment: 1.09 μB/f.u.

=====

DFT (PBE) results for crystalline SrTaAsO at its relaxed geometry.

Cell lengths 4.176, 4.176, 8.286 Å; angles 90.00, 90.00, 90.00 degrees
Atoms (fractional coordinates):
As 0.000 0.500 0.238
As 0.500 0.000 0.762
O 0.000 0.000 0.000
O 0.500 0.500 0.000
Sr 0.000 0.000 0.500
Sr 0.500 0.500 0.500
Ta 0.500 0.000 0.089
Ta 0.000 0.500 0.911

Summary:
* raw total energy: -50.61 eV per cell
* size of the total moment: 0.02 μB/f.u.

=====

DFT (PBE) results for crystalline TbPr2S3 at its relaxed geometry.

Cell lengths 4.025, 4.025, 9.977 Å; angles 90.00, 90.00, 120.00 degrees
Atoms (fractional coordinates):
Pr 0.333 0.667 0.170
Pr 0.667 0.333 0.830
S 0.000 0.000 0.000
S 0.667 0.333 0.346
S 0.333 0.667 0.654
Tb 0.000 0.000 0.500

Summary:
* raw total energy: -38.68 eV per cell
* size of the total moment: 0.01 μB/f.u.

=====

DFT (PBE) results for crystalline Li4CuAgGe2 at its relaxed geometry.

Cell lengths 4.287, 4.287, 6.134 Å; angles 90.00, 90.00, 90.00 degrees
Atoms (fractional coordinates):
Ag 0.500 0.500 0.000
Cu 0.000 0.000 0.500
Ge 0.000 0.500 0.269
Ge 0.500 0.000 0.731
Li 0.000 0.000 0.000
Li 0.500 0.000 0.260
Li 0.500 0.500 0.500
Li 0.000 0.500 0.740

Summary:
* raw total energy: -25.97 eV per cell

=====

DFT (PBE) results for crystalline SmGd2HoGa2 at its relaxed geometry.

Cell lengths 5.200, 5.200, 6.668 Å; angles 90.00, 90.00, 120.00 degrees
Each line ends with the local moment (μB).
Atoms (fractional coordinates):
Ga 0.667 0.333 0.000  -0.01
Ga 0.000 0.000 0.500  0.00
Gd 0.333 0.667 0.246  0.11
Gd 0.333 0.667 0.754  0.11
Ho 0.000 0.000 0.000  0.11
Sm 0.667 0.333 0.500  0.06

Summary:
* raw total energy: -26.93 eV per cell
* size of the total moment: 0.54 μB/f.u.